# 1
Here is a geometry-optimized Li2Zn2Au structure from Alexandria via LeMat-Bulk. Energies are from GGA-PBEsol.

a = 3.4739 Å, b = 3.4739 Å, c = 6.9220 Å
α = 104.53°, β = 104.53°, γ = 90.00°
Fractional coordinates of all 5 atoms:
Zn  0.5980  0.5980  0.1959
Zn  0.4020  0.4020  0.8041
Au  0.0000  0.0000  0.0000
Li  0.2500  0.7500  0.5000
Li  0.7500  0.2500  0.5000

Results
Energy of formation: -28 meV per atom
E_tot: -2.2319 eV per atom

---

# 2
Here is a geometry-optimized SrMg30CoO32 structure from Alexandria via LeMat-Bulk. Energies are from GGA-PBEsol.

a = 8.4878 Å, b = 8.4878 Å, c = 8.5566 Å
α = 90.00°, β = 90.00°, γ = 90.00°
Site moments in Bohr magnetons follow the coordinates.
Fractional coordinates of all 64 atoms:
O  0.7533  0.5000  0.5000  0.00
O  0.2290  0.5000  0.0000  0.00
O  0.2511  0.0000  0.5000  0.00
O  0.7500  0.7500  0.7509  0.00
O  0.5000  0.0000  0.7486  0.00
O  0.5000  0.0000  0.2514  0.00
O  0.7710  0.5000  0.0000  0.00
O  0.2500  0.7500  0.7509  0.00
O  0.5000  0.2467  0.5000  0.00
O  0.2500  0.7500  0.2491  0.00
O  0.7613  0.0000  0.0000  -0.01
O  0.0000  0.0000  0.7382  0.05
O  0.2387  0.0000  0.0000  -0.01
O  0.2500  0.2500  0.2491  0.00
O  0.5000  0.7710  0.0000  0.00
O  0.5000  0.7533  0.5000  0.00
O  0.5000  0.5000  0.7303  0.00
O  0.0000  0.5000  0.2514  0.00
O  0.7489  0.0000  0.5000  0.00
O  0.0000  0.7613  0.0000  -0.01
O  0.7500  0.2500  0.7509  0.00
O  0.0000  0.7489  0.5000  0.00
O  0.5000  0.5000  0.2697  0.00
O  0.0000  0.2511  0.5000  0.00
O  0.2467  0.5000  0.5000  0.00
O  0.0000  0.5000  0.7486  0.00
O  0.7500  0.7500  0.2491  0.00
O  0.5000  0.2290  0.0000  0.00
O  0.0000  0.0000  0.2618  0.05
O  0.0000  0.2387  0.0000  -0.01
O  0.7500  0.2500  0.2491  0.00
O  0.2500  0.2500  0.7509  0.00
Mg  0.2493  0.7507  0.5000  0.00
Mg  0.7537  0.0000  0.2506  0.00
Mg  0.0000  0.2463  0.2506  0.00
Mg  0.0000  0.2463  0.7494  0.00
Mg  0.0000  0.0000  0.5000  0.01
Mg  0.5000  0.0000  0.5000  0.00
Mg  0.2437  0.7563  0.0000  0.00
Mg  0.2448  0.5000  0.7448  0.00
Mg  0.7552  0.5000  0.7448  0.00
Mg  0.7507  0.2493  0.5000  0.00
Mg  0.7563  0.7563  0.0000  0.00
Mg  0.5000  0.7552  0.7448  0.00
Mg  0.0000  0.7537  0.2506  0.00
Mg  0.2437  0.2437  0.0000  0.00
Mg  0.2463  0.0000  0.2506  0.00
Mg  0.5000  0.7552  0.2552  0.00
Mg  0.2493  0.2493  0.5000  0.00
Mg  0.0000  0.5000  0.0000  0.00
Mg  0.0000  0.7537  0.7494  0.00
Mg  0.2463  0.0000  0.7494  0.00
Mg  0.5000  0.2448  0.7448  0.00
Mg  0.2448  0.5000  0.2552  0.00
Mg  0.7552  0.5000  0.2552  0.00
Mg  0.5000  0.0000  0.0000  0.00
Mg  0.7507  0.7507  0.5000  0.00
Mg  0.5000  0.5000  0.5000  0.00
Mg  0.5000  0.2448  0.2552  0.00
Mg  0.7537  0.0000  0.7494  0.00
Mg  0.0000  0.5000  0.5000  0.00
Mg  0.7563  0.2437  0.0000  0.00
Sr  0.5000  0.5000  0.0000  0.00
Co  0.0000  0.0000  0.0000  0.94

Results
Formation energy from raw total energies: -2.633 eV/atom
E_tot: -6.2127 eV per atom

---

# 3
Here is a geometry-optimized InTcPt structure from Alexandria via LeMat-Bulk. Energies are from GGA-PBEsol.

a = 4.3326 Å, b = 4.3326 Å, c = 4.3326 Å
α = 60.00°, β = 60.00°, γ = 60.00°
Site moments in Bohr magnetons follow the coordinates.
Fractional coordinates of all 3 atoms:
In  0.0000  0.0000  0.0000  0.04
Tc  0.7500  0.7500  0.7500  1.28
Pt  0.5000  0.5000  0.5000  0.29

Results
Energy of formation: 475 meV per atom
E_tot: -6.5963 eV per atom

---

# 4
Here is a geometry-optimized SrBeRe2 structure from Alexandria via LeMat-Bulk. Energies are from GGA-PBEsol.

a = 4.5192 Å, b = 4.5192 Å, c = 4.5192 Å
α = 60.00°, β = 60.00°, γ = 60.00°
Fractional coordinates of all 4 atoms:
Sr  0.2500  0.2500  0.2500
Be  0.5000  0.5000  0.5000
Re  0.7500  0.7500  0.7500
Re  0.0000  0.0000  0.0000

Results
Energy of formation: 947 meV per atom
E_tot: -7.1787 eV per atom

---

# 5
Here is a geometry-optimized TlCuOs2 structure from Alexandria via LeMat-Bulk. Energies are from GGA-PBEsol.

a = 4.4087 Å, b = 4.4087 Å, c = 4.4087 Å
α = 60.00°, β = 60.00°, γ = 60.00°
Site moments in Bohr magnetons follow the coordinates.
Fractional coordinates of all 4 atoms:
Os  0.2500  0.2500  0.2500  0.67
Os  0.7500  0.7500  0.7500  0.67
Cu  0.0000  0.0000  0.0000  0.16
Tl  0.5000  0.5000  0.5000  0.01

Results
Energy of formation: 1076 meV per atom
E_tot: -6.7731 eV per atom

---

# 6
Here is a geometry-optimized AlNiIr2 structure from Alexandria via LeMat-Bulk. Energies are from GGA-PBEsol.

a = 2.6818 Å, b = 2.6818 Å, c = 8.4760 Å
α = 90.00°, β = 90.00°, γ = 118.74°
Fractional coordinates of all 4 atoms:
Ir  0.5000  0.5000  0.7378
Ir  0.0000  0.0000  0.0155
Al  0.5000  0.5000  0.2609
Ni  0.0000  0.0000  0.4858

Results
Energy of formation: -14 meV per atom
E_tot: -7.4883 eV per atom

---

Number 1: calculated density 7.26 g/cm3, total magnetization 0.00 μB/atom. Number 2: calculated density 3.74 g/cm3, total magnetization 0.02 μB/atom. Number 3: calculated density 11.78 g/cm3, total magnetization 0.56 μB/atom. Number 4: calculated density 11.93 g/cm3, total magnetization 0.00 μB/atom. Number 5: calculated density 17.77 g/cm3, total magnetization 0.39 μB/atom. Number 6: calculated density 14.60 g/cm3, total magnetization 0.00 μB/atom.